1.
AlFe2Se | PBE | relaxed

Lattice parameters (Å, degrees): 4.3705 4.3705 4.4741 98.70 98.70 41.39
With the nearest neighbours (Å) after each atom.
Positions (direct):
Al  0.0000  0.0000  0.0000  6 Fe 2.46-2.64, 4 Se 2.72
Fe  0.2511  0.2511  0.7622  3 Al 2.46-2.64, 3 Se 2.51-2.68, 2 Fe 2.63
Fe  0.7489  0.7489  0.2378  3 Al 2.46-2.64, 3 Se 2.51-2.68, 2 Fe 2.63
Se  0.5000  0.5000  0.5000  6 Fe 2.51-2.68, 4 Al 2.72

Results
- space group = C2/m, No. 12
- DFT total energy (eV for the cell shown) = -23.8
- calculated density (g cm⁻³) = 6.48



2.
Al2FeSe | PBE | relaxed

Lattice parameters (Å, degrees): 2.9194 2.9194 7.4682 90.00 90.00 90.00
With the nearest neighbours (Å) after each atom.
Positions (direct):
Al  0.0000  0.0000  0.0000  8 Al 2.84-2.92
Al  0.5000  0.5000  0.2617  4 Fe 2.60, 4 Al 2.84, 1 Se 2.88
Fe  0.0000  0.0000  0.4743  4 Se 2.44, 4 Al 2.60
Se  0.5000  0.5000  0.6475  4 Fe 2.44

Results
- space group = P4mm, No. 99
- DFT total energy (eV for the cell shown) = -19.5
- calculated density (g cm⁻³) = 4.92



3.
AlFeSe | PBE | relaxed

Lattice parameters (Å, degrees): 3.1576 3.1576 5.4951 90.00 90.00 120.00
With the nearest neighbours (Å) after each atom.
Positions (direct):
Al  0.0000  0.0000  0.0000  3 Fe 2.52
Fe  0.6667  0.3333  0.3178  3 Se 2.41, 3 Al 2.52
Se  0.3333  0.6667  0.6036  3 Fe 2.41

Results
- space group = P3m1, No. 156
- DFT total energy (eV for the cell shown) = -15.8
- calculated density (g cm⁻³) = 5.66



4.
AlFeSe | PBE | relaxed

Lattice parameters (Å, degrees): 5.8244 5.8244 5.8244 150.62 150.62 42.03
With the nearest neighbours (Å) after each atom.
Positions (direct):
Al  0.0000  0.0000  0.0000  4 Fe 2.58, 1 Se 2.81
Fe  0.3604  0.3604  0.0000  4 Se 2.46, 4 Al 2.58
Se  0.7412  0.7412  0.0000  4 Fe 2.46

Results
- space group = I4mm, No. 107
- DFT total energy (eV for the cell shown) = -15.7
- calculated density (g cm⁻³) = 5.66